{
  "formula": "Ag2Pt3",
  "functional": "PBEsol",
  "state": "relaxed",
  "lattice": [[4.8480, -0.0027, 0.0044], [0.7997, 4.7873, 0.0060], [2.3793, 2.0496, 6.6718]],
  "species": ["Ag", "Ag", "Pt", "Pt", "Pt", "Pt", "Pt", "Pt", "Ag", "Ag"],
  "fractional_positions": [[0.5010, 0.7086, 0.0999], [0.0041, 0.7957, 0.3991], [0.5040, 0.4960, 0.5034], [0.4981, 0.1112, 0.3000], [0.0016, 0.5942, 0.8014], [0.5023, 0.8956, 0.6954], [0.4929, 0.3143, 0.9002], [0.9985, 0.3925, 0.1995], [0.9993, 0.9968, 0.9994], [0.9981, 0.1953, 0.6017]],
  "dos_ef_per_ev_atom": 1.022,
  "e_form_ev_per_atom": 0.0350,
  "spacegroup": "P1 (1)",
  "de_polymorph_mev_per_atom": 55
}

***

{
  "formula": "Ag5Pt",
  "functional": "PBEsol",
  "state": "relaxed",
  "lattice": [[-0.1431, 0.1720, -2.8234], [3.4159, -3.1720, -0.3664], [-4.9313, -5.4651, 1.3374]],
  "species": ["Ag", "Pt", "Ag", "Ag", "Ag", "Ag"],
  "fractional_positions": [[0.6662, 0.0000, 0.3324], [0.8883, 0.5000, 0.7766], [0.9994, 0.0000, 0.9988], [0.2235, 0.5000, 0.4470], [0.3350, 0.0000, 0.6700], [0.5543, 0.5000, 0.1086]],
  "dos_ef_per_ev_atom": 0.331,
  "e_form_ev_per_atom": 0.0102,
  "spacegroup": "Amm2 (38)",
  "de_polymorph_mev_per_atom": 6
}

***

{
  "formula": "Ag5Pt6",
  "functional": "PBEsol",
  "state": "relaxed",
  "lattice": [[3.9376, 0.0000, 0.0000], [0.0000, 6.2332, -0.0015], [-1.9688, -1.7000, 6.9737]],
  "species": ["Ag", "Pt", "Ag", "Pt", "Ag", "Pt", "Pt", "Ag", "Ag", "Pt", "Pt"],
  "fractional_positions": [[0.5460, 0.7242, 0.0920], [0.3645, 0.8162, 0.7289], [0.7265, 0.6397, 0.4531], [0.1878, 0.9242, 0.3757], [0.0895, 0.4530, 0.1789], [0.4512, 0.2683, 0.9025], [0.8190, 0.0903, 0.6381], [0.2716, 0.3694, 0.5431], [0.0008, 0.9963, 0.0017], [0.9077, 0.5418, 0.8153], [0.6353, 0.1766, 0.2707]],
  "dos_ef_per_ev_atom": 0.875,
  "e_form_ev_per_atom": 0.0406,
  "spacegroup": "Cm (8)",
  "de_polymorph_mev_per_atom": 14
}

***

{
  "formula": "AgPt",
  "functional": "PBEsol",
  "state": "relaxed",
  "lattice": [[5.5998, 0.0019, 0.0012], [2.7550, 5.6023, 0.0044], [1.3523, 1.4303, 5.9745]],
  "species": ["Pt", "Pt", "Ag", "Pt", "Ag", "Ag", "Pt", "Pt", "Ag", "Ag", "Ag", "Pt"],
  "fractional_positions": [[0.7538, 0.5057, 0.9969], [0.4207, 0.8252, 0.6616], [0.3307, 0.6682, 0.3333], [0.0725, 0.1709, 0.3401], [0.5808, 0.1654, 0.3315], [0.4994, 0.9988, 0.9998], [0.8337, 0.6575, 0.3360], [0.6736, 0.3343, 0.6709], [0.2506, 0.5009, 0.9998], [0.1743, 0.3313, 0.6674], [0.9998, 0.0001, 0.0015], [0.9102, 0.8418, 0.6611]],
  "dos_ef_per_ev_atom": 0.795,
  "e_form_ev_per_atom": 0.0280,
  "spacegroup": "P1 (1)"
}

***

{
  "formula": "Ag3Pt2",
  "functional": "PBEsol",
  "state": "relaxed",
  "lattice": [[-1.5780, -1.0256, 2.0448], [5.6639, -1.9306, 3.4025], [-1.7072, 7.9568, 2.6732]],
  "species": ["Ag", "Ag", "Pt", "Ag", "Pt", "Ag", "Pt", "Pt", "Ag", "Ag"],
  "fractional_positions": [[0.0000, 0.7010, 0.6031], [0.0000, 0.9099, 0.2026], [0.0000, 0.5000, 0.0000], [0.0000, 0.0901, 0.7974], [0.5000, 0.7919, 0.9098], [0.5000, 0.3972, 0.7002], [0.5000, 0.0000, 0.5000], [0.5000, 0.2081, 0.0902], [0.5000, 0.6028, 0.2998], [0.0000, 0.2990, 0.3969]],
  "dos_ef_per_ev_atom": 0.492,
  "e_form_ev_per_atom": 0.0045,
  "spacegroup": "P2/m (10)",
  "de_polymorph_mev_per_atom": 45
}

***

{
  "formula": "AgPt",
  "functional": "PBEsol",
  "state": "relaxed",
  "lattice": [[2.7715, 0.0000, 0.0000], [0.0000, 8.0117, 0.0000], [0.0000, -4.0059, 8.4497]],
  "species": ["Ag", "Pt", "Pt", "Pt", "Ag", "Pt", "Ag", "Ag", "Ag", "Pt", "Pt", "Ag"],
  "fractional_positions": [[0.0000, 0.6700, 0.3400], [0.0000, 0.3352, 0.6703], [0.0000, 0.1679, 0.3359], [0.5000, 0.1709, 0.8288], [0.0000, 0.5023, 0.0045], [0.5000, 0.0110, 0.5011], [0.5000, 0.3296, 0.1666], [0.0000, 0.9960, 0.9920], [0.5000, 0.8370, 0.1666], [0.5000, 0.4901, 0.5011], [0.5000, 0.6580, 0.8288], [0.0000, 0.8320, 0.6641]],
  "dos_ef_per_ev_atom": 0.923,
  "e_form_ev_per_atom": 0.0219,
  "spacegroup": "Amm2 (38)"
}

***

{
  "formula": "Ag5Pt6",
  "functional": "PBEsol",
  "state": "relaxed",
  "lattice": [[2.7518, 0.0000, 0.0000], [1.3759, 6.2607, 0.0012], [1.3759, 0.1107, 9.9601]],
  "species": ["Ag", "Pt", "Pt", "Pt", "Pt", "Ag", "Ag", "Ag", "Pt", "Ag", "Pt"],
  "fractional_positions": [[0.2691, 0.8681, 0.5937], [0.5391, 0.2369, 0.6849], [0.3607, 0.3239, 0.9548], [0.6393, 0.6761, 0.0452], [0.1808, 0.4146, 0.2238], [0.9100, 0.0445, 0.1355], [0.0900, 0.9555, 0.8645], [0.0000, 0.5000, 0.5000], [0.8192, 0.5854, 0.7762], [0.7309, 0.1319, 0.4063], [0.4609, 0.7631, 0.3151]],
  "dos_ef_per_ev_atom": 0.982,
  "e_form_ev_per_atom": 0.0318,
  "spacegroup": "C2/m (12)",
  "de_polymorph_mev_per_atom": 5
}

***

{
  "formula": "Ag3Pt",
  "functional": "PBEsol",
  "state": "relaxed",
  "lattice": [[-0.2484, 1.5531, 2.3404], [0.6105, -3.8245, 2.6027], [4.8191, 0.7697, 0.0007]],
  "species": ["Pt", "Ag", "Ag", "Ag"],
  "fractional_positions": [[0.0000, 0.5000, 0.3340], [0.0000, 0.0000, 0.0027], [0.5000, 0.0000, 0.4970], [0.5000, 0.5000, 0.8330]],
  "dos_ef_per_ev_atom": 0.364,
  "e_form_ev_per_atom": 0.0142,
  "spacegroup": "Pmm2 (25)"
}

***

{
  "formula": "Ag7Pt4",
  "functional": "PBEsol",
  "state": "relaxed",
  "lattice": [[2.7924, 0.0000, 0.0000], [1.3962, 6.1905, 0.0021], [1.3962, 0.2985, 10.0777]],
  "species": ["Pt", "Pt", "Ag", "Ag", "Pt", "Ag", "Ag", "Ag", "Pt", "Ag", "Ag"],
  "fractional_positions": [[0.1817, 0.9112, 0.7254], [0.5499, 0.7150, 0.1852], [0.3654, 0.8160, 0.4533], [0.4563, 0.2668, 0.8205], [0.0926, 0.4530, 0.3619], [0.9075, 0.5486, 0.6364], [0.9965, 0.0013, 0.0058], [0.6357, 0.1840, 0.5446], [0.2685, 0.3734, 0.0896], [0.8199, 0.0898, 0.2705], [0.7261, 0.6409, 0.9068]],
  "dos_ef_per_ev_atom": 0.514,
  "e_form_ev_per_atom": 0.0039,
  "spacegroup": "Cm (8)",
  "de_polymorph_mev_per_atom": 0
}

***

{
  "formula": "Ag4Pt5",
  "functional": "PBEsol",
  "state": "relaxed",
  "lattice": [[3.9194, 0.0000, 0.0000], [-1.9597, 4.4085, -0.0043], [0.0000, -2.5894, 8.0923]],
  "species": ["Ag", "Ag", "Ag", "Pt", "Pt", "Pt", "Ag", "Pt", "Pt"],
  "fractional_positions": [[0.3345, 0.6690, 0.4426], [0.3342, 0.6684, 0.1098], [0.9995, 0.9990, 0.0017], [0.6644, 0.3288, 0.8810], [0.0064, 0.0127, 0.3420], [0.3294, 0.6587, 0.7726], [0.6687, 0.3374, 0.2218], [0.6646, 0.3292, 0.5586], [0.9984, 0.9968, 0.6700]],
  "dos_ef_per_ev_atom": 0.856,
  "e_form_ev_per_atom": 0.0305,
  "spacegroup": "Cm (8)",
  "de_polymorph_mev_per_atom": 7
}

***

{
  "formula": "Ag4Pt5",
  "functional": "PBEsol",
  "state": "relaxed",
  "lattice": [[4.8636, -0.0022, -0.0039], [2.4201, 4.2132, -0.0015], [0.0153, 2.7256, 6.8250]],
  "species": ["Ag", "Ag", "Ag", "Pt", "Pt", "Pt", "Ag", "Pt", "Pt"],
  "fractional_positions": [[0.9912, 0.0007, 0.0006], [0.5589, 0.2174, 0.6648], [0.7858, 0.1160, 0.3335], [0.3183, 0.3356, 0.9973], [0.2354, 0.8698, 0.6690], [0.8870, 0.5524, 0.6678], [0.1165, 0.4477, 0.3342], [0.4564, 0.7879, 0.3324], [0.6505, 0.6725, 0.0005]],
  "dos_ef_per_ev_atom": 1.019,
  "e_form_ev_per_atom": 0.0485,
  "spacegroup": "P1 (1)",
  "de_polymorph_mev_per_atom": 25
}

***

{
  "formula": "Ag3Pt",
  "functional": "PBEsol",
  "state": "relaxed",
  "lattice": [[4.0018, 0.0000, 0.0000], [0.0000, 4.0018, 0.0000], [0.0000, 0.0000, 4.0018]],
  "species": ["Ag", "Ag", "Pt", "Ag"],
  "fractional_positions": [[0.0000, 0.0000, 0.5000], [0.5000, 0.0000, 0.0000], [0.5000, 0.5000, 0.5000], [0.0000, 0.5000, 0.0000]],
  "dos_ef_per_ev_atom": 0.322,
  "e_form_ev_per_atom": 0.0162,
  "spacegroup": "Pm-3m (221)"
}